TlTe3Os | GGA-PBE | relaxed

Values from the calculation:
crystal system: cubic

a b c (Å): 5.694 5.694 5.694
angles (deg): 90.00 90.00 90.00
Space group Pm-3m (No. 221)
Symmetry-distinct sites (fractional):
Tl 0.000 0.000 0.000 x1
Te 0.000 0.000 0.500 x3
Os 0.500 0.500 0.500 x1

=====

TlTeOs2 | GGA-PBE | relaxed

Values from the calculation:
crystal system: monoclinic

a b c (Å): 3.053 4.442 5.995
angles (deg): 90.00 96.69 90.00
Space group P2/m (No. 10)
Symmetry-distinct sites (fractional):
Tl 0.000 0.000 0.000 x1
Te 0.500 0.000 0.500 x1
Os 0.193 0.500 0.306 x2

=====

| no. | D(E_F) (states/eV/atom) | formation energy (no corrections) (eV/atom) | E_tot (eV/atom) |
| --- | --- | --- | --- |
| 1 | 1.86 | 1.87 | -2.730 |
| 2 | 0.85 | 1.17 | -5.821 |